# Cr2InFeN

A relaxed structure of Cr2InFeN (GGA-PBE, Alexandria).

## Properties
For the uncorrected formation energy, the calculation gives -71 meV per atom. As for the total DFT energy (no corrections): -0.57520 Ry/atom.

a = 3.9097 Å, b = 3.9097 Å, c = 3.9402 Å
α = 90.00°, β = 90.00°, γ = 90.00°
Last column: nearest neighbours and their distance in Å.
Atoms (fractional coordinates):
Cr (0.0000, 0.5000, 0.0000)  2 N 1.95
Cr (0.5000, 0.0000, 0.0000)  2 N 1.95
In (0.0000, 0.0000, 0.5000)  4 Fe 2.76, 8 Cr 2.78
Fe (0.5000, 0.5000, 0.5000)  2 N 1.97
N (0.5000, 0.5000, 0.0000)  4 Cr 1.95, 2 Fe 1.97


# VCrIn2Fe

A relaxed structure of VCrIn2Fe (GGA-PBE, Alexandria).

## Properties
As for the total DFT energy (no corrections): -0.40568 Ry/atom.

a = 4.8500 Å, b = 4.8500 Å, c = 4.2213 Å
α = 90.00°, β = 90.00°, γ = 90.00°
Last column: nearest neighbours and their distance in Å.
Atoms (fractional coordinates):
V (0.0000, 0.0000, 0.0000)  8 In 3.21, 4 Cr 3.43
Cr (0.5000, 0.5000, 0.0000)  2 Fe 2.11
In (0.0000, 0.5000, 0.5000)  2 Fe 2.43
In (0.5000, 0.0000, 0.5000)  2 Fe 2.43
Fe (0.5000, 0.5000, 0.5000)  2 Cr 2.11


# CrFeIr4

A relaxed structure of CrFeIr4 (GGA-PBE, Alexandria).

## Properties
As for the total DFT energy (no corrections): -0.62192 Ry/atom.

a = 5.1374 Å, b = 5.1374 Å, c = 5.1374 Å
α = 60.00°, β = 60.00°, γ = 60.00°
Last column: nearest neighbours and their distance in Å.
Atoms (fractional coordinates):
Cr (0.0000, 0.0000, 0.0000)  12 Ir 3.01, 4 Fe 3.15
Fe (0.7500, 0.7500, 0.7500)  12 Ir 3.01, 4 Cr 3.15
Ir (0.3750, 0.3750, 0.3750)  6 Ir 2.57
Ir (0.3750, 0.3750, 0.8751)  6 Ir 2.57
Ir (0.3750, 0.8751, 0.3750)  6 Ir 2.57
Ir (0.8751, 0.3750, 0.3750)  6 Ir 2.57


# CrFeIr2

A relaxed structure of CrFeIr2 (GGA-PBE, Alexandria).

## Properties
As for the total DFT energy (no corrections): -0.66673 Ry/atom.

a = 4.5250 Å, b = 4.5250 Å, c = 2.6900 Å
α = 90.00°, β = 90.00°, γ = 107.29°
Last column: nearest neighbours and their distance in Å.
Atoms (fractional coordinates):
Cr (0.0000, 0.0000, 0.0000)  8 Ir 2.63, 2 Fe 2.68, 2 Cr 2.69
Fe (0.5000, 0.5000, 0.0000)  8 Ir 2.63, 2 Cr 2.68, 2 Fe 2.69
Ir (0.0000, 0.5000, 0.5000)  4 Fe 2.63, 4 Cr 2.63, 4 Ir 2.68-2.69
Ir (0.5000, 0.0000, 0.5000)  4 Fe 2.63, 4 Cr 2.63, 4 Ir 2.68-2.69


# CrFeIr2

A relaxed structure of CrFeIr2 (GGA-PBE, Alexandria).

## Properties
As for the total DFT energy (no corrections): -0.64449 Ry/atom.

a = 5.0804 Å, b = 5.0804 Å, c = 5.0804 Å
α = 148.07°, β = 127.51°, γ = 62.77°
Last column: nearest neighbours and their distance in Å.
Atoms (fractional coordinates):
Cr (0.0000, 0.0000, 0.0000)  4 Ir 2.62, 4 Fe 2.65, 2 Cr 2.79
Fe (0.5000, 0.5000, 0.0000)  4 Ir 2.54, 4 Cr 2.65, 2 Fe 2.79
Ir (0.2555, 0.7555, 0.5000)  2 Fe 2.54, 2 Cr 2.62, 6 Ir 2.65-2.79
Ir (0.7445, 0.2445, 0.5000)  2 Fe 2.54, 2 Cr 2.62, 6 Ir 2.65-2.79


# Cr2FeIr

A relaxed structure of Cr2FeIr (GGA-PBE, Alexandria).

## Properties
As for the total DFT energy (no corrections): -0.67328 Ry/atom.

a = 4.4775 Å, b = 4.4775 Å, c = 2.6185 Å
α = 90.00°, β = 90.00°, γ = 109.62°
Last column: nearest neighbours and their distance in Å.
Atoms (fractional coordinates):
Cr (0.0000, 0.5000, 0.0000)  4 Cr 2.58-2.62, 4 Fe 2.59, 4 Ir 2.59
Cr (0.5000, 0.0000, 0.0000)  4 Cr 2.58-2.62, 4 Fe 2.59, 4 Ir 2.59
Fe (0.0000, 0.0000, 0.5000)  2 Ir 2.58, 8 Cr 2.59, 2 Fe 2.62
Ir (0.5000, 0.5000, 0.5000)  2 Fe 2.58, 8 Cr 2.59, 2 Ir 2.62


# CrFeIr2

A relaxed structure of CrFeIr2 (GGA-PBE, Alexandria).

## Properties
As for the total DFT energy (no corrections): -0.66723 Ry/atom.

a = 4.6327 Å, b = 4.6327 Å, c = 4.6327 Å
α = 132.60°, β = 132.60°, γ = 69.28°
Last column: nearest neighbours and their distance in Å.
Atoms (fractional coordinates):
Cr (0.0000, 0.0000, 0.0000)  8 Ir 2.63-2.66, 4 Fe 2.66
Fe (0.2500, 0.7500, 0.5000)  8 Ir 2.63-2.66, 4 Cr 2.66
Ir (0.5000, 0.5000, 0.0000)  4 Cr 2.63, 4 Fe 2.66, 4 Ir 2.66
Ir (0.7500, 0.2500, 0.5000)  4 Fe 2.63, 4 Cr 2.66, 4 Ir 2.66


# Cr2FeIr

A relaxed structure of Cr2FeIr (GGA-PBE, Alexandria).

## Properties
As for the total DFT energy (no corrections): -0.66969 Ry/atom.

a = 4.4266 Å, b = 2.6442 Å, c = 4.4825 Å
α = 90.00°, β = 108.29°, γ = 90.00°
Last column: nearest neighbours and their distance in Å.
Atoms (fractional coordinates):
Cr (0.0000, 0.0000, 0.0000)  6 Cr 2.58-2.64, 4 Fe 2.60, 2 Ir 2.61
Cr (0.5000, 0.5000, 0.0000)  6 Cr 2.58-2.64, 4 Ir 2.60, 2 Fe 2.61
Fe (0.0000, 0.5000, 0.5000)  4 Ir 2.58, 6 Cr 2.60-2.61, 2 Fe 2.64
Ir (0.5000, 0.0000, 0.5000)  4 Fe 2.58, 6 Cr 2.60-2.61, 2 Ir 2.64


# Cr3FeIr12

A relaxed structure of Cr3FeIr12 (GGA-PBE, Alexandria).

## Properties
As for the total DFT energy (no corrections): -0.67325 Ry/atom.

a = 3.8202 Å, b = 3.8202 Å, c = 15.3170 Å
α = 90.00°, β = 90.00°, γ = 90.00°
Last column: nearest neighbours and their distance in Å.
Atoms (fractional coordinates):
Cr (0.0000, 0.0000, 0.0000)  12 Ir 2.70
Cr (0.0000, 0.0000, 0.2518)  12 Ir 2.67-2.73
Cr (0.0000, 0.0000, 0.7482)  12 Ir 2.67-2.73
Fe (0.0000, 0.0000, 0.5000)  12 Ir 2.70-2.72
Ir (0.0000, 0.5000, 0.1248)  8 Ir 2.70, 4 Cr 2.70-2.73
Ir (0.0000, 0.5000, 0.3735)  2 Cr 2.67, 8 Ir 2.70-2.72, 2 Fe 2.72
Ir (0.0000, 0.5000, 0.6265)  2 Cr 2.67, 8 Ir 2.70-2.72, 2 Fe 2.72
Ir (0.0000, 0.5000, 0.8752)  8 Ir 2.70, 4 Cr 2.70-2.73
Ir (0.5000, 0.0000, 0.1248)  8 Ir 2.70, 4 Cr 2.70-2.73
Ir (0.5000, 0.0000, 0.3735)  2 Cr 2.67, 8 Ir 2.70-2.72, 2 Fe 2.72
Ir (0.5000, 0.0000, 0.6265)  2 Cr 2.67, 8 Ir 2.70-2.72, 2 Fe 2.72
Ir (0.5000, 0.0000, 0.8752)  8 Ir 2.70, 4 Cr 2.70-2.73
Ir (0.5000, 0.5000, 0.0000)  4 Cr 2.70, 8 Ir 2.70
Ir (0.5000, 0.5000, 0.2492)  8 Ir 2.70, 4 Cr 2.70
Ir (0.5000, 0.5000, 0.5000)  4 Fe 2.70, 8 Ir 2.72
Ir (0.5000, 0.5000, 0.7508)  8 Ir 2.70, 4 Cr 2.70


# CrFe4Ir

A relaxed structure of CrFe4Ir (GGA-PBE, Alexandria).

## Properties
As for the total DFT energy (no corrections): -0.64160 Ry/atom.

a = 4.6817 Å, b = 4.6817 Å, c = 4.6817 Å
α = 60.00°, β = 60.00°, γ = 60.00°
Last column: nearest neighbours and their distance in Å.
Atoms (fractional coordinates):
Cr (0.0000, 0.0000, 0.0000)  12 Fe 2.75, 4 Ir 2.87
Fe (0.3752, 0.3752, 0.3752)  6 Fe 2.34-2.35
Fe (0.3752, 0.3752, 0.8743)  6 Fe 2.34-2.35
Fe (0.3752, 0.8743, 0.3752)  6 Fe 2.34-2.35
Fe (0.8743, 0.3752, 0.3752)  6 Fe 2.34-2.35
Ir (0.7500, 0.7500, 0.7500)  12 Fe 2.74, 4 Cr 2.87


# CrFeIr

A relaxed structure of CrFeIr (GGA-PBE, Alexandria).

## Properties
As for the total DFT energy (no corrections): -0.66554 Ry/atom.

a = 4.0601 Å, b = 4.0601 Å, c = 2.6273 Å
α = 90.00°, β = 90.00°, γ = 120.00°
Last column: nearest neighbours and their distance in Å.
Atoms (fractional coordinates):
Cr (0.0000, 0.0000, 0.0000)  3 Fe 2.34
Fe (0.6667, 0.3333, 0.0000)  3 Cr 2.34
Ir (0.3333, 0.6667, 0.5000)  2 Ir 2.63, 6 Cr 2.69, 6 Fe 2.69


# CrFeIr2

A relaxed structure of CrFeIr2 (GGA-PBE, Alexandria).

## Properties
As for the total DFT energy (no corrections): -0.58867 Ry/atom.

a = 6.5304 Å, b = 6.5304 Å, c = 6.5304 Å
α = 132.46°, β = 132.46°, γ = 69.51°
Last column: nearest neighbours and their distance in Å.
Atoms (fractional coordinates):
Cr (0.0000, 0.0000, 0.0000)  4 Ir 2.31
Cr (0.7500, 0.2500, 0.5000)  4 Ir 2.31
Fe (0.2500, 0.7500, 0.5000)  4 Ir 2.27
Fe (0.5000, 0.5000, 0.0000)  4 Ir 2.27
Ir (0.1316, 0.6250, 0.0066)  2 Fe 2.27, 2 Cr 2.31
Ir (0.3750, 0.3816, 0.5066)  2 Fe 2.27, 2 Cr 2.31
Ir (0.6184, 0.1250, 0.9934)  2 Fe 2.27, 2 Cr 2.31
Ir (0.8750, 0.8684, 0.4934)  2 Fe 2.27, 2 Cr 2.31


Table of V (Å³/cell), in record order: 60.2; 99.3; 95.9; 52.6; 54.5; 49.4; 52.9; 49.8; 223.5; 72.6; 37.5; 148.7
Table of N(E_F) (states/eV/f.u.), in record order: 3.95; 5.19; 9.57; 3.85; 5.70; 3.30; 4.53; 4.90; 14.51; 4.29; 2.85; 4.53